{"formula": "Pr6TlPd5", "functional": "PBE", "state": "optimized geometry", "lattice_angstrom": [[7.421, 0.020, 0.000], [2.098, 7.536, 0.000], [1.049, 3.768, 5.972]], "species": ["Pr", "Pr", "Pr", "Pr", "Pr", "Pr", "Tl", "Pd", "Pd", "Pd", "Pd", "Pd"], "frac_coords": [[0.722, 0.102, 0.360], [0.278, 0.538, 0.360], [0.226, 0.297, 0.000], [0.774, 0.703, 0.000], [0.722, 0.462, 0.640], [0.278, 0.898, 0.640], [0.000, 0.000, 0.000], [0.500, 0.131, 0.739], [0.000, 0.309, 0.381], [0.500, 0.500, 0.000], [0.000, 0.691, 0.619], [0.500, 0.869, 0.261]], "spacegroup": "C2/m, No. 12", "formation_energy_ev_per_atom": -0.56, "rho_g_cm3": 7.87, "crystal_system": "monoclinic"}